No. 1
Entry from Alexandria: crystalline Sr2Si2Tc at its relaxed geometry (PBE).

Unit cell a=6.7967 b=6.7967 c=4.9428 alpha=90.00 beta=90.00 gamma=90.00
Fractional coordinates of all 10 atoms:
Si1 0.1345 0.3655 0.0000
Si2 0.3655 0.8655 0.0000
Si3 0.8655 0.6345 0.0000
Si4 0.6345 0.1345 0.0000
Sr1 0.3215 0.1785 0.5000
Sr2 0.1785 0.6785 0.5000
Sr3 0.6785 0.8215 0.5000
Sr4 0.8215 0.3215 0.5000
Tc1 0.5000 0.5000 0.0000
Tc2 0.0000 0.0000 0.0000

Calculated values
symmetry: P4/mbm (127)
electronic total energy: -4.943 eV per atom
calculated density: 4.8 Mg/m³
spin magnetization: 1.86 μB/cell
energy relative to the elements, uncorrected: -0.138 eV per formula unit
crystal system: tetragonal



No. 2
Entry from Alexandria: crystalline SrSi4Tc4 at its relaxed geometry (PBE).

Unit cell a=4.6796 b=8.2019 c=8.2019 alpha=90.00 beta=90.00 gamma=90.00
Fractional coordinates of all 18 atoms:
Si1 0.9131 0.6599 0.1883
Si2 0.5869 0.1599 0.6883
Si3 0.4131 0.3117 0.1599
Si4 0.5869 0.8401 0.3117
Si5 0.0869 0.8117 0.6599
Si6 0.9131 0.3401 0.8117
Si7 0.0869 0.1883 0.3401
Si8 0.4131 0.6883 0.8401
Tc1 0.4061 0.3768 0.8762
Tc2 0.4061 0.6232 0.1238
Tc3 0.5939 0.8762 0.6232
Tc4 0.5939 0.1238 0.3768
Tc5 0.9061 0.3762 0.1232
Tc6 0.0939 0.8768 0.3762
Tc7 0.9061 0.6238 0.8768
Tc8 0.0939 0.1232 0.6238
Sr1 0.5000 0.5000 0.5000
Sr2 0.0000 0.0000 0.0000

Calculated values
symmetry: P4_2/n (86)
electronic total energy: -7.647 eV per atom
calculated density: 6.2 Mg/m³
spin magnetization: 0.00 μB/cell
energy relative to the elements, uncorrected: -3.984 eV per formula unit
crystal system: tetragonal



No. 3
Entry from Alexandria: crystalline Sr2SiTc at its relaxed geometry (PBE).

Unit cell a=3.4408 b=4.4924 c=6.5692 alpha=90.00 beta=90.00 gamma=90.00
Fractional coordinates of all 4 atoms:
Tc1 0.5000 0.5000 0.2500
Sr1 0.0000 0.0000 0.9946
Sr2 0.0000 0.0000 0.5054
Si1 0.5000 0.5000 0.7500

Calculated values
symmetry: Pmmm (47)
electronic total energy: -4.206 eV per atom
calculated density: 4.9 Mg/m³
spin magnetization: 2.07 μB/cell
energy relative to the elements, uncorrected: 2.328 eV per formula unit
crystal system: orthorhombic



No. 4
Entry from Alexandria: crystalline Sr2SiTc at its relaxed geometry (PBE).

Unit cell a=3.4391 b=3.4391 c=9.0455 alpha=90.00 beta=90.00 gamma=90.00
Fractional coordinates of all 4 atoms:
Tc1 0.0000 0.0000 0.5857
Si1 0.5000 0.5000 0.6707
Sr1 0.0000 0.0000 0.9117
Sr2 0.5000 0.5000 0.3319

Calculated values
symmetry: P4mm (99)
electronic total energy: -4.785 eV per atom
calculated density: 4.7 Mg/m³
spin magnetization: 0.00 μB/cell
energy relative to the elements, uncorrected: 0.014 eV per formula unit
crystal system: tetragonal



No. 5
Entry from Alexandria: crystalline SrSiTc at its relaxed geometry (PBE).

Unit cell a=6.0522 b=6.0522 c=3.3593 alpha=73.89 beta=73.89 gamma=32.23
Fractional coordinates of all 3 atoms:
Sr1 0.3333 0.3333 0.6667
Si1 0.0533 0.0533 0.9467
Tc1 0.6134 0.6134 0.3866

Calculated values
symmetry: I4mm (107)
electronic total energy: -5.895 eV per atom
calculated density: 5.6 Mg/m³
spin magnetization: 0.00 μB/cell
offset from the most stable computed form: 261.3 meV per atom
energy relative to the elements, uncorrected: -0.213 eV per formula unit
crystal system: tetragonal



No. 6
Entry from Alexandria: crystalline SrSi2Tc at its relaxed geometry (PBE).

Unit cell a=5.6975 b=5.6975 c=5.6975 alpha=148.48 beta=117.69 gamma=71.51
Fractional coordinates of all 4 atoms:
Si1 0.4517 0.4517 0.0000
Si2 0.0483 0.0483 0.0000
Tc1 0.2500 0.7500 0.5000
Sr1 0.7500 0.2500 0.5000

Calculated values
symmetry: Immm (71)
electronic total energy: -5.560 eV per atom
calculated density: 4.8 Mg/m³
spin magnetization: 0.00 μB/cell
offset from the most stable computed form: 493.2 meV per atom
energy relative to the elements, uncorrected: 0.653 eV per formula unit
crystal system: orthorhombic



No. 7
Entry from Alexandria: crystalline Sr2SiTc at its relaxed geometry (PBE).

Unit cell a=5.6559 b=5.6559 c=5.6559 alpha=131.55 beta=131.59 gamma=70.91
Fractional coordinates of all 4 atoms:
Sr1 0.9999 0.9999 0.0000
Sr2 0.5001 0.5001 0.0000
Tc1 0.7500 0.2500 0.5000
Si1 0.2500 0.7500 0.5000

Calculated values
symmetry: I4/mmm (139)
electronic total energy: -4.203 eV per atom
calculated density: 5.0 Mg/m³
spin magnetization: 2.04 μB/cell
energy relative to the elements, uncorrected: 2.340 eV per formula unit
crystal system: tetragonal



No. 8
Entry from Alexandria: crystalline SrSi2Tc at its relaxed geometry (PBE).

Unit cell a=3.1755 b=3.1752 c=7.2055 alpha=90.00 beta=90.00 gamma=90.00
Fractional coordinates of all 4 atoms:
Si1 0.0000 0.0000 0.9298
Si2 0.0000 0.0000 0.5702
Sr1 0.5000 0.5000 0.2500
Tc1 0.5000 0.5000 0.7500

Calculated values
symmetry: P4/mmm (123)
electronic total energy: -6.020 eV per atom
calculated density: 5.5 Mg/m³
spin magnetization: 0.00 μB/cell
offset from the most stable computed form: 33.9 meV per atom
energy relative to the elements, uncorrected: -1.185 eV per formula unit
crystal system: tetragonal